# BaBe2Ir PBE optimized geometry
data_BaBe2Ir
_chemical_formula_sum 'Ba1 Be2 Ir1'
_space_group_name_H-M_alt 'P 1 m 1'
_space_group_IT_number 6
_space_group_name_Hall 'P -2y'
_cell_length_a 4.438
_cell_length_b 3.895
_cell_length_c 5.173
_cell_angle_alpha 90.00
_cell_angle_beta 90.21
_cell_angle_gamma 90.00
loop_
_atom_site_label
_atom_site_fract_x
_atom_site_fract_y
_atom_site_fract_z
_atom_site_occupancy
Ba1 0.000 0.000 0.000 1
Be1 0.276 0.500 0.501 1
Be2 0.546 0.000 0.499 1
Ir1 0.771 0.500 0.499 1
# - Energy above the lowest structure with this stoichiometry: 228 meV per atom
# - Formation energy from the elements: -4 meV per atom

***

# Ba4BeIr2 PBE optimized geometry
data_Ba4BeIr2
_chemical_formula_sum 'Ba8 Be2 Ir4'
_space_group_name_H-M_alt 'I 4/m m m'
_space_group_IT_number 139
_space_group_name_Hall '-I 4 2'
_cell_length_a 6.181
_cell_length_b 6.181
_cell_length_c 14.195
_cell_angle_alpha 90.00
_cell_angle_beta 90.00
_cell_angle_gamma 90.00
loop_
_atom_site_label
_atom_site_fract_x
_atom_site_fract_y
_atom_site_fract_z
_atom_site_occupancy
Ba1 0.000 0.000 0.218 1
Ba2 0.000 0.500 0.000 1
Be1 0.000 0.000 0.000 1
Ir1 0.000 0.000 0.412 1
# - Formation energy from the elements: 400 meV per atom

***

# BaBeIr2 PBE optimized geometry
data_BaBeIr2
_chemical_formula_sum 'Ba3 Be3 Ir6'
_space_group_name_H-M_alt 'R -3 m'
_space_group_IT_number 166
_space_group_name_Hall '-R 3 2"'
_cell_length_a 4.3052
_cell_length_b 4.3052
_cell_length_c 17.2873
_cell_angle_alpha 90.00
_cell_angle_beta 90.00
_cell_angle_gamma 120.00
loop_
_atom_site_label
_atom_site_fract_x
_atom_site_fract_y
_atom_site_fract_z
_atom_site_occupancy
Ba1 0.0000 0.0000 0.0000 1
Be1 0.0000 0.0000 0.5000 1
Ir1 0.0000 0.0000 0.1770 1
# - Formation energy from the elements: -215 meV per atom

***

# BaBeIr2 PBE optimized geometry
data_BaBeIr2
_chemical_formula_sum 'Ba1 Be1 Ir2'
_space_group_name_H-M_alt 'P 1 m 1'
_space_group_IT_number 6
_space_group_name_Hall 'P -2y'
_cell_length_a 4.019
_cell_length_b 4.021
_cell_length_c 5.374
_cell_angle_alpha 90.00
_cell_angle_beta 90.14
_cell_angle_gamma 90.00
loop_
_atom_site_label
_atom_site_fract_x
_atom_site_fract_y
_atom_site_fract_z
_atom_site_occupancy
Ba1 0.000 0.000 0.000 1
Be1 0.502 0.500 0.351 1
Ir1 0.002 0.500 0.508 1
Ir2 0.500 0.000 0.508 1
# - Formation energy from the elements: 37 meV per atom

***

# BaBe2Ir2 PBE optimized geometry
data_BaBe2Ir2
_chemical_formula_sum 'Ba2 Be4 Ir4'
_space_group_name_H-M_alt 'I 4/m m m'
_space_group_IT_number 139
_space_group_name_Hall '-I 4 2'
_cell_length_a 4.185
_cell_length_b 4.185
_cell_length_c 9.912
_cell_angle_alpha 90.00
_cell_angle_beta 90.00
_cell_angle_gamma 90.00
loop_
_atom_site_label
_atom_site_fract_x
_atom_site_fract_y
_atom_site_fract_z
_atom_site_occupancy
Ba1 0.000 0.000 0.000 1
Be1 0.000 0.500 0.250 1
Ir1 0.000 0.000 0.368 1
# - Formation energy from the elements: -103 meV per atom

***

# BaBeIr PBE optimized geometry
data_BaBeIr
_chemical_formula_sum 'Ba1 Be1 Ir1'
_space_group_name_H-M_alt 'P -6 m 2'
_space_group_IT_number 187
_space_group_name_Hall 'P -6 2'
_cell_length_a 3.9887
_cell_length_b 3.9887
_cell_length_c 4.8795
_cell_angle_alpha 90.00
_cell_angle_beta 90.00
_cell_angle_gamma 120.00
loop_
_atom_site_label
_atom_site_fract_x
_atom_site_fract_y
_atom_site_fract_z
_atom_site_occupancy
Ba1 0.0000 0.0000 0.0000 1
Be1 0.6667 0.3333 0.5000 1
Ir1 0.3333 0.6667 0.5000 1
# - Energy above the lowest structure with this stoichiometry: 226 meV per atom
# - Formation energy from the elements: -123 meV per atom

***

# BaBe2Ir PBE optimized geometry
data_BaBe2Ir
_chemical_formula_sum 'Ba1 Be2 Ir1'
_space_group_name_H-M_alt 'P m m 2'
_space_group_IT_number 25
_space_group_name_Hall 'P 2 -2'
_cell_length_a 3.075
_cell_length_b 3.432
_cell_length_c 7.180
_cell_angle_alpha 90.00
_cell_angle_beta 90.00
_cell_angle_gamma 90.00
loop_
_atom_site_label
_atom_site_fract_x
_atom_site_fract_y
_atom_site_fract_z
_atom_site_occupancy
Ba1 0.000 0.000 0.000 1
Be1 0.000 0.000 0.560 1
Be2 0.500 0.500 0.350 1
Ir1 0.500 0.500 0.640 1
# - Energy above the lowest structure with this stoichiometry: 457 meV per atom
# - Formation energy from the elements: 226 meV per atom

***

# Ba2BeIr PBE optimized geometry
data_Ba2BeIr
_chemical_formula_sum 'Ba4 Be2 Ir2'
_space_group_name_H-M_alt 'C 1 m 1'
_space_group_IT_number 8
_space_group_name_Hall 'C -2y'
_cell_length_a 7.181
_cell_length_b 4.147
_cell_length_c 9.197
_cell_angle_alpha 90.00
_cell_angle_beta 105.99
_cell_angle_gamma 90.00
loop_
_atom_site_label
_atom_site_fract_x
_atom_site_fract_y
_atom_site_fract_z
_atom_site_occupancy
Ba1 0.000 0.000 0.000 1
Ba2 0.176 0.000 0.500 1
Be1 0.255 0.500 0.250 1
Ir1 0.422 0.000 0.250 1
# - Formation energy from the elements: -171 meV per atom

***

# BaBeIr PBE optimized geometry
data_BaBeIr
_chemical_formula_sum 'Ba4 Be4 Ir4'
_space_group_name_H-M_alt 'F -4 3 m'
_space_group_IT_number 216
_space_group_name_Hall 'F -4 2 3'
_cell_length_a 6.980
_cell_length_b 6.980
_cell_length_c 6.980
_cell_angle_alpha 90.00
_cell_angle_beta 90.00
_cell_angle_gamma 90.00
loop_
_atom_site_label
_atom_site_fract_x
_atom_site_fract_y
_atom_site_fract_z
_atom_site_occupancy
Ba1 0.000 0.000 0.000 1
Be1 0.250 0.250 0.750 1
Ir1 0.250 0.250 0.250 1
# - Energy above the lowest structure with this stoichiometry: 1880 meV per atom
# - Formation energy from the elements: 1530 meV per atom

***

# BaBe2Ir PBE optimized geometry
data_BaBe2Ir
_chemical_formula_sum 'Ba2 Be4 Ir2'
_space_group_name_H-M_alt 'C 1 2/m 1'
_space_group_IT_number 12
_space_group_name_Hall '-C 2y'
_cell_length_a 6.929
_cell_length_b 3.996
_cell_length_c 6.088
_cell_angle_alpha 90.00
_cell_angle_beta 112.03
_cell_angle_gamma 90.00
loop_
_atom_site_label
_atom_site_fract_x
_atom_site_fract_y
_atom_site_fract_z
_atom_site_occupancy
Ba1 0.000 0.000 0.000 1
Be1 0.181 0.000 0.544 1
Ir1 0.000 0.500 0.500 1
# - Energy above the lowest structure with this stoichiometry: 0 meV per atom
# - Formation energy from the elements: -232 meV per atom

***

# BaBe2Ir PBE optimized geometry
data_BaBe2Ir
_chemical_formula_sum 'Ba1 Be2 Ir1'
_space_group_name_H-M_alt 'P 4/m m m'
_space_group_IT_number 123
_space_group_name_Hall '-P 4 2'
_cell_length_a 3.026
_cell_length_b 3.026
_cell_length_c 7.431
_cell_angle_alpha 90.00
_cell_angle_beta 90.00
_cell_angle_gamma 90.00
loop_
_atom_site_label
_atom_site_fract_x
_atom_site_fract_y
_atom_site_fract_z
_atom_site_occupancy
Ba1 0.000 0.000 0.000 1
Be1 0.500 0.500 0.352 1
Ir1 0.000 0.000 0.500 1
# - Energy above the lowest structure with this stoichiometry: 275 meV per atom
# - Formation energy from the elements: 43 meV per atom

***

# BaLaBeIr2 PBE optimized geometry
data_BaLaBeIr2
_chemical_formula_sum 'Ba1 La1 Be1 Ir2'
_space_group_name_H-M_alt 'P 4/m m m'
_space_group_IT_number 123
_space_group_name_Hall '-P 4 2'
_cell_length_a 5.014
_cell_length_b 5.014
_cell_length_c 6.340
_cell_angle_alpha 90.00
_cell_angle_beta 90.00
_cell_angle_gamma 90.00
loop_
_atom_site_label
_atom_site_fract_x
_atom_site_fract_y
_atom_site_fract_z
_atom_site_occupancy
Ba1 0.000 0.000 0.000 1
La1 0.000 0.000 0.500 1
Be1 0.500 0.500 0.000 1
Ir1 0.000 0.500 0.500 1
# - Formation energy from the elements: 1473 meV per atom

***

What is the formation energy from the elements in the sixth record?
-123 meV per atom